NpHgPd | PBE-GGA | optimized geometry

a b c (Å): 4.7386 4.7386 4.7386
angles (deg): 60.00 60.00 60.00
Closest atoms and distances in Å follow each position.
Sites, in units of the cell vectors:
Hg1 0.5000 0.5000 0.5000  4 Pd 2.90
Np1 0.0000 0.0000 0.0000  4 Pd 2.90
Pd1 0.2500 0.2500 0.2500  4 Np 2.90, 4 Hg 2.90

Values from the calculation:
Total energy: -6.0765 eV/atom
Crystal system: cubic
ρ: 12007 kg/m³
Energy relative to the elements: 0.004 eV per atom

=====

GdGa2 | PBE-GGA | optimized geometry

a b c (Å): 5.5305 5.5305 5.5305
angles (deg): 60.00 60.00 60.00
Closest atoms and distances in Å follow each position.
Sites, in units of the cell vectors:
Ga1 0.6250 0.6250 0.6250  6 Ga 2.77
Ga2 0.1250 0.6250 0.6250  6 Ga 2.77
Ga3 0.6250 0.1250 0.6250  6 Ga 2.77
Gd1 0.0000 0.0000 0.0000  12 Ga 3.24, 4 Gd 3.39
Gd2 0.2500 0.2500 0.2500  12 Ga 3.24, 4 Gd 3.39
Ga4 0.6250 0.6250 0.1250  6 Ga 2.77

Values from the calculation:
Total energy: -4.1455 eV/atom
Crystal system: cubic
ρ: 8238 kg/m³

=====

TbSeO3F | PBE-GGA | optimized geometry

a b c (Å): 4.2587 6.3841 6.8271
angles (deg): 93.74 95.94 97.33
Closest atoms and distances in Å follow each position.
Sites, in units of the cell vectors:
O1 0.3184 0.3265 0.9043  1 Se 1.75
F1 0.9409 0.3155 0.2714  2 Tb 2.16-2.18
O2 0.3831 0.0015 0.2070  1 Se 1.69
Tb1 0.4431 0.3658 0.2368  2 F 2.16-2.18, 5 O 2.27-2.40
O3 0.4885 0.6899 0.4313  1 Se 1.75
O4 0.6169 0.9985 0.7930  1 Se 1.69
Se1 0.3151 0.1306 0.7130  3 O 1.69-1.75
O5 0.6816 0.6735 0.0957  1 Se 1.75
F2 0.0591 0.6845 0.7286  2 Tb 2.16-2.18
O6 0.5115 0.3101 0.5687  1 Se 1.75
Tb2 0.5569 0.6342 0.7632  2 F 2.16-2.18, 5 O 2.27-2.40
Se2 0.6849 0.8694 0.2870  3 O 1.69-1.75

Values from the calculation:
Total energy: -6.5224 eV/atom
Crystal system: triclinic
ρ: 5547 kg/m³
Energy relative to the lowest polymorph listed for this composition: 0 kJ/mol of formula units

=====

ErGe | PBE-GGA | optimized geometry

a b c (Å): 3.6447 3.6446 4.2282
angles (deg): 90.00 90.00 120.00
Closest atoms and distances in Å follow each position.
Sites, in units of the cell vectors:
Ge1 0.3333 0.6667 0.2500  6 Er 2.98
Er1 0.6667 0.3333 0.7500  6 Ge 2.98

Values from the calculation:
Total energy: -5.0380 eV/atom
Crystal system: hexagonal
ρ: 8190 kg/m³

=====

Pm2SiSe | PBE-GGA | optimized geometry

a b c (Å): 4.2172 4.2172 5.9524
angles (deg): 90.00 90.00 90.00
Closest atoms and distances in Å follow each position.
Sites, in units of the cell vectors:
Se1 0.0000 0.0000 0.0000  6 Pm 2.98
Si1 0.5000 0.5000 0.5000  6 Pm 2.98
Pm1 0.0000 0.0000 0.5000  2 Se 2.98, 4 Si 2.98
Pm2 0.5000 0.5000 0.0000  2 Si 2.98, 4 Se 2.98

Values from the calculation:
Total energy: -5.9262 eV/atom
Crystal system: tetragonal
ρ: 6228 kg/m³

=====

LaPbAu | PBE-GGA | optimized geometry

a b c (Å): 4.8822 4.8822 8.0788
angles (deg): 90.00 90.00 120.00
Closest atoms and distances in Å follow each position.
Sites, in units of the cell vectors:
Pb1 0.3333 0.6667 0.7500  3 Au 2.82
Pb2 0.6667 0.3333 0.2500  3 Au 2.82
Au1 0.6667 0.3333 0.7500  3 Pb 2.82
La1 0.0000 0.0000 0.5000  6 Pb 3.47, 6 Au 3.47
La2 0.0000 0.0000 0.0000  6 Pb 3.47, 6 Au 3.47
Au2 0.3333 0.6667 0.2500  3 Pb 2.82

Values from the calculation:
Total energy: -4.6122 eV/atom
Crystal system: hexagonal
ρ: 10815 kg/m³

=====

TbYCSe | PBE-GGA | optimized geometry

a b c (Å): 3.7728 3.7728 13.3427
angles (deg): 90.00 90.00 120.00
Closest atoms and distances in Å follow each position.
Sites, in units of the cell vectors:
Se1 0.3333 0.6667 0.7502  3 Y 2.95, 3 Tb 2.95
Y1 0.3333 0.6667 0.1002  3 C 2.56
Se2 0.6667 0.3333 0.2498  3 Y 2.95, 3 Tb 2.95
Tb1 0.3333 0.6667 0.3995  3 C 2.56
Y2 0.6667 0.3333 0.8998  3 C 2.56
Tb2 0.6667 0.3333 0.6005  3 C 2.56
C1 0.0000 0.0000 0.0000  6 Y 2.56
C2 0.0000 0.0000 0.5000  6 Tb 2.56

Values from the calculation:
Total energy: -7.0957 eV/atom
Crystal system: trigonal
ρ: 6841 kg/m³

=====

BaGdSO | PBE-GGA | optimized geometry

a b c (Å): 6.4951 6.9878 16.9922
angles (deg): 90.00 90.00 90.00
Closest atoms and distances in Å follow each position.
Sites, in units of the cell vectors:
O1 0.5553 0.6601 0.5231  3 Gd 2.23-2.37
Gd1 0.6604 0.1599 0.0474  3 O 2.23-2.37
Gd2 0.8396 0.6599 0.0474  3 O 2.23-2.37
S1 0.1445 0.0612 0.3328  2 Gd 2.82-2.85
S2 0.8555 0.9388 0.1672  2 Gd 2.82-2.85
O2 0.9447 0.3399 0.0231  3 Gd 2.23-2.37
O3 0.5553 0.8399 0.0231  3 Gd 2.23-2.37
Ba1 0.1363 0.1893 0.6777  1 O 2.91, 2 S 3.16-3.18
Gd3 0.8396 0.8401 0.5474  3 O 2.23-2.37
O4 0.0553 0.6601 0.4769  3 Gd 2.23-2.37
S3 0.3555 0.9388 0.8328  2 Gd 2.82-2.85
S4 0.8555 0.5612 0.6672  2 Gd 2.82-2.85
O5 0.0553 0.8399 0.9769  3 Gd 2.23-2.37
O6 0.4447 0.1601 0.4769  3 Gd 2.23-2.37
O7 0.4447 0.3399 0.9769  3 Gd 2.23-2.37
Gd4 0.1604 0.1599 0.9526  3 O 2.23-2.37
Ba2 0.8637 0.8107 0.8223  1 O 2.91, 2 S 3.16-3.18
O8 0.9447 0.1601 0.5231  3 Gd 2.23-2.37
Ba3 0.6363 0.3107 0.8223  1 O 2.91, 2 S 3.16-3.18
Ba4 0.8637 0.6893 0.3223  1 O 2.91, 2 S 3.16-3.18
Gd5 0.6604 0.3401 0.5474  3 O 2.23-2.37
Ba5 0.3637 0.8107 0.1777  1 O 2.91, 2 S 3.16-3.18
Ba6 0.1363 0.3107 0.1777  1 O 2.91, 2 S 3.16-3.18
S5 0.6445 0.0612 0.6672  2 Gd 2.82-2.85
Gd6 0.1604 0.3401 0.4526  3 O 2.23-2.37
Gd7 0.3396 0.8401 0.4526  3 O 2.23-2.37
Ba7 0.3637 0.6893 0.6777  1 O 2.91, 2 S 3.16-3.18
Gd8 0.3396 0.6599 0.9526  3 O 2.23-2.37
S6 0.6445 0.4388 0.1672  2 Gd 2.82-2.85
Ba8 0.6363 0.1893 0.3223  1 O 2.91, 2 S 3.16-3.18
S7 0.3555 0.5612 0.3328  2 Gd 2.82-2.85
S8 0.1445 0.4388 0.8328  2 Gd 2.82-2.85

Values from the calculation:
Total energy: -6.1351 eV/atom
Crystal system: orthorhombic
ρ: 5902 kg/m³
Energy relative to the lowest polymorph listed for this composition: 1 kJ/mol of formula units

=====

GdDySi4Ir2 | PBE-GGA | optimized geometry

a b c (Å): 2.9683 14.4431 14.4431
angles (deg): 15.75 90.00 90.00
Closest atoms and distances in Å follow each position.
Sites, in units of the cell vectors:
Gd1 0.0000 0.6535 0.6535  2 Ir 2.86, 3 Si 2.91-3.20, 2 Gd 2.97
Ir1 0.0000 0.0815 0.0815  2 Si 2.28
Si1 0.0000 0.2282 0.2282  2 Si 2.36
Dy1 0.0000 0.3469 0.3469  2 Ir 2.83, 3 Si 2.89-3.16, 2 Dy 2.97
Si2 0.0000 0.4574 0.4574  2 Ir 2.28, 1 Si 2.41
Si3 0.0000 0.7731 0.7731  2 Si 2.36
Ir2 0.0000 0.9176 0.9176  2 Si 2.28
Si4 0.0000 0.5418 0.5418  2 Ir 2.28, 1 Si 2.41

Values from the calculation:
Total energy: -5.9679 eV/atom
Crystal system: orthorhombic
ρ: 8066 kg/m³

=====

Er3Lu4Pd2Se2 | PBE-GGA | optimized geometry

a b c (Å): 9.0219 9.0219 9.0219
angles (deg): 155.40 67.48 118.28
Closest atoms and distances in Å follow each position.
Sites, in units of the cell vectors:
Er1 0.0077 0.0077 0.0000  3 Se 3.07-3.20
Er2 0.6224 0.2602 0.3622  2 Pd 2.93, 2 Se 2.97
Lu1 0.2944 0.4173 0.8771  2 Pd 2.82, 3 Se 2.92-3.01
Se1 0.2668 0.7668 0.5000  6 Lu 3.00-3.01, 2 Er 3.07
Er3 0.8980 0.2602 0.6378  2 Pd 2.93, 2 Se 2.97
Pd1 0.1718 0.9323 0.2395  5 Lu 2.79-3.05, 2 Er 2.93
Se2 0.6620 0.6620 0.0000  2 Lu 2.92, 5 Er 2.97-3.20
Lu2 0.5403 0.4173 0.1229  2 Pd 2.82, 3 Se 2.92-3.01
Lu3 0.9477 0.6286 0.3190  3 Pd 2.79-3.05, 1 Se 3.00
Lu4 0.3096 0.6286 0.6810  3 Pd 2.79-3.05, 1 Se 3.00
Pd2 0.6928 0.9323 0.7605  5 Lu 2.79-3.05, 2 Er 2.93

Values from the calculation:
Total energy: -5.4495 eV/atom
Crystal system: orthorhombic
ρ: 9782 kg/m³

=====

Zr5Sn3C | PBE-GGA | optimized geometry

a b c (Å): 8.5103 8.5103 5.8611
angles (deg): 90.00 90.00 120.00
Closest atoms and distances in Å follow each position.
Sites, in units of the cell vectors:
Zr1 0.2191 0.2191 0.7500  2 C 2.37
Sn1 0.5958 0.0000 0.2500  9 Zr 2.97-3.33
Zr2 0.7809 0.0000 0.7500  2 C 2.37
Zr3 0.3333 0.6667 0.5000  2 Zr 2.93, 6 Sn 2.97
Zr4 0.7809 0.7809 0.2500  2 C 2.37
Sn2 0.0000 0.4042 0.7500  9 Zr 2.97-3.33
Zr5 0.0000 0.2191 0.2500  2 C 2.37
Zr6 0.3333 0.6667 0.0000  2 Zr 2.93, 6 Sn 2.97
Sn3 0.4042 0.0000 0.7500  9 Zr 2.97-3.33
Zr7 0.2191 0.0000 0.2500  2 C 2.37
Zr8 0.0000 0.7809 0.7500  2 C 2.37
C1 0.0000 0.0000 0.0000  6 Zr 2.37
Sn4 0.5958 0.5958 0.7500  9 Zr 2.97-3.33
Zr9 0.6667 0.3333 0.5000  2 Zr 2.93, 6 Sn 2.97
C2 0.0000 0.0000 0.5000  6 Zr 2.37
Zr10 0.6667 0.3333 0.0000  2 Zr 2.93, 6 Sn 2.97
Sn5 0.0000 0.5958 0.2500  9 Zr 2.97-3.33
Sn6 0.4042 0.4042 0.2500  9 Zr 2.97-3.33

Values from the calculation:
Total energy: -7.7876 eV/atom
Crystal system: hexagonal
ρ: 7446 kg/m³

=====

SmSnAsO | PBE-GGA | optimized geometry

a b c (Å): 4.0439 8.8841 6.0947
angles (deg): 90.00 90.00 90.00
Closest atoms and distances in Å follow each position.
Sites, in units of the cell vectors:
Sm1 0.0000 0.6636 0.4318  2 O 2.22
Sm2 0.0000 0.3364 0.9318  2 O 2.22
As1 0.0000 0.3338 0.4200  2 Sn 2.73, 2 Sm 2.93-2.98
Sn1 0.5000 0.1421 0.5347  1 O 2.22
O1 0.5000 0.2433 0.8676  2 Sm 2.22, 1 Sn 2.22
As2 0.0000 0.6662 0.9200  2 Sn 2.73, 2 Sm 2.93-2.98
Sn2 0.5000 0.8579 0.0347  1 O 2.22
O2 0.5000 0.7567 0.3676  1 Sn 2.22, 2 Sm 2.22

Values from the calculation:
Total energy: -5.9952 eV/atom
Crystal system: orthorhombic
ρ: 5460 kg/m³
Energy relative to the lowest polymorph listed for this composition: 12 kJ/mol of formula units

=====

- total energy of number 1 (NpHgPd)?
  -6.0765 eV/atom